*A*
Tb5Dy6Ho: optimized geometry, GGA-PBE.

```
Tb5Dy6Ho
1.0
3.067 -5.307 0.000
3.067 5.307 0.000
-2.029 0.000 11.556
Tb Dy Ho
5 6 1
direct
0.000 0.000 0.000
0.167 0.833 0.500
0.333 0.667 0.000
0.667 0.333 0.000
0.833 0.167 0.500
0.083 0.417 0.250
0.250 0.250 0.750
0.417 0.083 0.250
0.583 0.917 0.750
0.750 0.750 0.250
0.917 0.583 0.750
0.500 0.500 0.500
```

Total magnetization (μB per cell): 0.00
N(E_F) (states/eV/f.u.): 15.172
Volume (Å³/cell): 376

*B*
Tb5Dy6Ho: optimized geometry, GGA-PBE.

```
Tb5Dy6Ho
1.0
4.689 -8.843 0.000
4.689 8.843 0.000
-3.678 0.000 4.585
Tb Dy Ho
5 6 1
direct
0.000 0.000 0.000
0.166 0.834 0.500
0.334 0.666 0.000
0.666 0.334 0.000
0.834 0.166 0.500
0.083 0.417 0.250
0.250 0.250 0.750
0.417 0.083 0.250
0.583 0.917 0.750
0.750 0.750 0.250
0.917 0.583 0.750
0.500 0.500 0.500
```

Total magnetization (μB per cell): 0.00
N(E_F) (states/eV/f.u.): 28.680
Volume (Å³/cell): 380

It is *B* that is the least stable of them.

*A*
Tb3Dy7Ho: optimized geometry, GGA-PBE.

```
Tb3Dy7Ho
1.0
6.256 -5.562 0.000
6.256 5.562 0.000
-2.663 0.000 5.131
Tb Dy Ho
3 7 1
direct
0.000 0.000 0.000
0.208 0.792 0.500
0.792 0.208 0.500
0.000 0.401 0.200
0.000 0.599 0.800
0.207 0.207 0.706
0.401 0.000 0.200
0.500 0.500 0.500
0.599 0.000 0.800
0.793 0.793 0.294
0.500 0.500 0.000
```

Total magnetization (μB per cell): 0.35
N(E_F) (states/eV/f.u.): 16.515
Volume (Å³/cell): 357

*B*
Tb3Dy7Ho: optimized geometry, GGA-PBE.

```
Tb3Dy7Ho
1.0
6.925 0.000 0.000
0.000 5.505 0.000
-3.432 0.000 9.266
Tb Dy Ho
3 7 1
direct
0.000 0.000 0.000
0.280 0.500 0.499
0.720 0.500 0.501
0.000 0.000 0.500
0.146 0.500 0.790
0.321 0.500 0.140
0.417 0.000 0.330
0.583 0.000 0.670
0.679 0.500 0.860
0.854 0.500 0.210
0.500 0.000 0.000
```

Total magnetization (μB per cell): 0.00
N(E_F) (states/eV/f.u.): 17.147
Volume (Å³/cell): 353

It is *A* that is the least stable of them.

*A*
Tb4Dy8Ho3: optimized geometry, GGA-PBE.

```
Tb4Dy8Ho3
1.0
6.645 -6.361 0.000
6.645 6.361 0.000
-3.371 0.000 5.797
Tb Dy Ho
4 8 3
direct
0.000 0.000 0.000
0.000 0.000 0.500
0.000 0.500 0.000
0.500 0.000 0.000
0.253 0.747 0.000
0.265 0.265 0.512
0.269 0.269 0.038
0.359 0.641 0.500
0.641 0.359 0.500
0.731 0.731 0.962
0.735 0.735 0.488
0.747 0.253 0.000
0.000 0.500 0.500
0.500 0.000 0.500
0.500 0.500 0.000
```

Total magnetization (μB per cell): 0.02
N(E_F) (states/eV/f.u.): 29.436
Volume (Å³/cell): 490

*B*
Tb4Dy8Ho3: optimized geometry, GGA-PBE.

```
Tb4Dy8Ho3
1.0
3.446 1.989 11.694
-3.446 1.989 11.694
0.000 -3.979 11.694
Tb Dy Ho
4 8 3
direct
0.000 0.000 0.000
0.164 0.164 0.164
0.500 0.500 0.500
0.836 0.836 0.836
0.250 0.250 0.748
0.250 0.748 0.250
0.252 0.750 0.750
0.255 0.255 0.255
0.745 0.745 0.745
0.748 0.250 0.250
0.750 0.252 0.750
0.750 0.750 0.252
0.000 0.500 0.500
0.500 0.000 0.500
0.500 0.500 0.000
```

Total magnetization (μB per cell): 0.00
N(E_F) (states/eV/f.u.): 22.749
Volume (Å³/cell): 481

It is *A* that is the least stable of them.

*A*
TbDy3Ho: optimized geometry, GGA-PBE.

```
TbDy3Ho
1.0
6.478 0.000 0.000
3.234 5.822 0.000
3.161 -0.001 8.353
Tb Dy Ho
2 6 2
direct
0.120 0.150 0.346
0.880 0.850 0.654
0.268 0.849 0.846
0.298 0.295 0.951
0.406 0.296 0.550
0.594 0.704 0.450
0.702 0.705 0.049
0.732 0.151 0.154
0.178 0.646 0.250
0.822 0.354 0.750
```

Total magnetization (μB per cell): 0.00
N(E_F) (states/eV/f.u.): 5.940
Volume (Å³/cell): 315

*B*
TbDy3Ho: optimized geometry, GGA-PBE.

```
TbDy3Ho
1.0
1.797 -8.240 0.000
1.797 8.240 0.000
0.000 0.000 11.526
Tb Dy Ho
2 6 2
direct
0.184 0.816 0.750
0.816 0.184 0.250
0.155 0.845 0.250
0.349 0.651 0.000
0.349 0.651 0.500
0.651 0.349 0.000
0.651 0.349 0.500
0.845 0.155 0.750
0.488 0.512 0.250
0.512 0.488 0.750
```

Total magnetization (μB per cell): 0.00
N(E_F) (states/eV/f.u.): 9.062
Volume (Å³/cell): 341

It is *B* that is the least stable of them.